[1]
HoScMo | PBE | relaxed

The structure in extended XYZ format:
```
3
Lattice="2.3781 1.3730 3.8834 -2.3781 1.3730 3.8834 0.0000 -2.7460 3.8834" Properties=species:S:1:pos:R:3 pbc="T T T"
Ho 0.0000 0.0000 0.0000
Mo 0.0000 0.0000 8.7377
Sc 0.0000 0.0000 2.9126
```

Values from the calculation:
ΔE_f in eV per atom: 1.250
Total magnetization in μB/f.u.: 1.77
Space-group type: F-43m, No. 216

[2]
HoScMo | PBE | relaxed

The structure in extended XYZ format:
```
3
Lattice="0.0000 3.3308 3.3308 3.3308 0.0000 3.3308 3.3308 3.3308 0.0000" Properties=species:S:1:pos:R:3 pbc="T T T"
Ho 1.6654 1.6654 1.6654
Mo 4.9962 4.9962 4.9962
Sc 0.0000 0.0000 0.0000
```

Values from the calculation:
ΔE_f in eV per atom: 1.092
Total magnetization in μB/f.u.: 1.63
Space-group type: F-43m, No. 216

[3]
Ho2Si4Mo3 | PBE | relaxed

The structure in extended XYZ format:
```
18
Lattice="-6.3956 1.9559 -1.4933 0.7652 -2.4110 -6.4354 -0.1282 -6.3184 2.3519" Properties=species:S:1:pos:R:3 pbc="T T T"
Ho -0.5923 -2.0176 -5.4808
Ho -4.9798 -1.9823 -2.3009
Ho -0.7787 -4.7913 -3.2758
Ho -5.1662 -4.7560 -0.0959
Mo -2.8152 -0.2276 -3.9643
Mo -1.3672 -1.8981 -1.9585
Mo -4.1935 -2.1378 -5.9196
Mo -3.2619 -2.1813 0.4293
Mo -1.5650 -4.6357 0.3429
Mo -4.3914 -4.8754 -3.6182
Si -3.0853 -0.1590 -1.2842
Si -5.4235 -0.3722 -4.5501
Si -0.5857 -2.2507 0.4438
Si -2.7906 -2.8838 -3.9432
Si -2.9680 -3.8897 -1.6336
Si -5.1729 -4.5228 -6.0205
Si -0.3351 -6.4014 -1.0266
Si -2.6733 -6.6145 -4.2925
```

Values from the calculation:
Total magnetization in μB/f.u.: 0.00
Space-group type: P2_1/c, No. 14

[4]
SmHoMo | PBE | relaxed

The structure in extended XYZ format:
```
3
Lattice="0.0000 3.4798 3.4798 3.4798 0.0000 3.4798 3.4798 3.4798 0.0000" Properties=species:S:1:pos:R:3 pbc="T T T"
Ho 1.7399 1.7399 1.7399
Mo 5.2198 5.2198 5.2198
Sm 0.0000 0.0000 0.0000
```

Values from the calculation:
ΔE_f in eV per atom: 1.277
Total magnetization in μB/f.u.: 1.72
Space-group type: F-43m, No. 216

[5]
HoThMo | PBE | relaxed

The structure in extended XYZ format:
```
3
Lattice="0.0000 3.4637 3.4637 3.4637 0.0000 3.4637 3.4637 3.4637 0.0000" Properties=species:S:1:pos:R:3 pbc="T T T"
Ho 1.7318 1.7318 1.7318
Mo 0.0000 0.0000 0.0000
Th 5.1955 5.1955 5.1955
```

Values from the calculation:
ΔE_f in eV per atom: 0.402
Total magnetization in μB/f.u.: 0.00
Space-group type: F-43m, No. 216

[6]
HoTlMo | PBE | relaxed

The structure in extended XYZ format:
```
3
Lattice="-2.6304 -3.7091 -1.8813 -4.8797 -0.1207 0.6248 -2.9909 0.7971 -3.8256" Properties=species:S:1:pos:R:3 pbc="T T T"
Tl -2.6252 -0.7582 -1.2705
Ho 0.0000 0.0000 0.0000
Mo -7.8757 -2.2746 -3.8115
```

Values from the calculation:
Total magnetization in μB/f.u.: 3.36
Space-group type: F-43m, No. 216

[7]
HoTlMo | PBE | relaxed

The structure in extended XYZ format:
```
3
Lattice="-0.9605 -4.6909 -0.1529 0.6090 -2.6984 3.9113 -3.8092 -1.7421 2.3251" Properties=species:S:1:pos:R:3 pbc="T T T"
Ho -1.0402 -2.2829 1.5209
Mo -3.1205 -6.8486 4.5626
Tl 0.0000 0.0000 0.0000
```

Values from the calculation:
Total magnetization in μB/f.u.: 1.36
Space-group type: F-43m, No. 216

[8]
HoUMo | PBE | relaxed

The structure in extended XYZ format:
```
3
Lattice="0.0000 3.3495 3.3495 3.3495 0.0000 3.3495 3.3495 3.3495 0.0000" Properties=species:S:1:pos:R:3 pbc="T T T"
Ho 1.6748 1.6748 1.6748
Mo 0.0000 0.0000 0.0000
U 5.0243 5.0243 5.0243
```

Values from the calculation:
ΔE_f in eV per atom: 0.766
Total magnetization in μB/f.u.: 1.18
Space-group type: F-43m, No. 216

[9]
HoMoW | PBE | relaxed

The structure in extended XYZ format:
```
3
Lattice="4.3658 0.3160 1.1236 1.5346 3.7051 2.0833 1.2357 -0.1974 4.3425" Properties=species:S:1:pos:R:3 pbc="T T T"
Ho 1.7840 0.9559 1.8873
Mo 5.3521 2.8678 5.6620
W 0.0000 0.0000 0.0000
```

Values from the calculation:
ΔE_f in eV per atom: 0.836
Total magnetization in μB/f.u.: 0.00
Space-group type: F-43m, No. 216

[10]
YHoMo | PBE | relaxed

The structure in extended XYZ format:
```
3
Lattice="0.0000 3.4732 3.4732 3.4732 0.0000 3.4732 3.4732 3.4732 0.0000" Properties=species:S:1:pos:R:3 pbc="T T T"
Ho 0.0000 0.0000 0.0000
Mo 1.7366 1.7366 1.7366
Y 5.2098 5.2098 5.2098
```

Values from the calculation:
ΔE_f in eV per atom: 1.236
Total magnetization in μB/f.u.: 1.88
Space-group type: F-43m, No. 216

[11]
HoZnMo | PBE | relaxed

The structure in extended XYZ format:
```
3
Lattice="-0.5547 -2.0089 4.1991 -3.7007 1.1056 2.6568 -3.4255 -3.1300 0.6668" Properties=species:S:1:pos:R:3 pbc="T T T"
Ho 0.0000 0.0000 0.0000
Mo -1.9202 -1.0083 1.8807
Zn -5.7607 -3.0250 5.6420
```

Values from the calculation:
ΔE_f in eV per atom: 1.146
Total magnetization in μB/f.u.: 3.00
Space-group type: F-43m, No. 216

[12]
HoZnMo | PBE | relaxed

The structure in extended XYZ format:
```
3
Lattice="0.0000 3.1739 3.1739 3.1739 0.0000 3.1739 3.1739 3.1739 0.0000" Properties=species:S:1:pos:R:3 pbc="T T T"
Ho 1.5870 1.5870 1.5870
Mo 4.7609 4.7609 4.7609
Zn 0.0000 0.0000 0.0000
```

Values from the calculation:
ΔE_f in eV per atom: 0.596
Total magnetization in μB/f.u.: 0.63
Space-group type: F-43m, No. 216

no.,uncorrected energy (eV per atom)
1,-6.0013
2,-6.1591
3,-7.7259
4,-5.4350
5,-7.2110
6,-4.7823
7,-5.1264
8,-8.1412
9,-8.6258
10,-6.0605
11,-4.4171
12,-4.9673